Record 1
Material: ZnRh2Br
Method: DFT, GGA-PBE
State: optimized geometry

## Properties
Relative energy among the computed polymorphs: 0.215 eV/atom
Volume: 65.03 Å³/cell
Space-group type: Cmmm (65)
Total moment: 0.00 μB per formula unit
D(E_F): 5.0 states/eV per cell
E: -4.088 eV/atom

abc: 2.9700 2.9700 8.5694
angles: 90.00 90.00 120.65
Positions (direct):
Br (0.5000, 0.5000, 0.7500)
Rh (0.0000, 0.0000, 0.0082)
Rh (0.0000, 0.0000, 0.4918)
Zn (0.5000, 0.5000, 0.2500)

Record 2
Material: Cr3MoAu
Method: DFT, GGA-PBE
State: optimized geometry

## Properties
ΔE_f: 131.24 kJ per mole of atoms
Relative energy among the computed polymorphs: 0.000 eV/atom
Volume: 100.21 Å³/cell
Space-group type: Pm-3m (221)
Total moment: 8.71 μB per formula unit
D(E_F): 2.8 states/eV per cell
E: -7.236 eV/atom

abc: 4.6448 4.6448 4.6448
angles: 90.00 90.00 90.00
Site moments in Bohr magnetons follow the coordinates.
Positions (direct):
Cr (0.0000, 0.5000, 0.0000)  2.95
Cr (0.0000, 0.0000, 0.5000)  2.61
Cr (0.5000, 0.0000, 0.0000)  3.47
Mo (0.0000, 0.0000, 0.0000)  -1.10
Au (0.5000, 0.5000, 0.5000)  0.02

Record 3
Material: HoTm4Sn4
Method: DFT, GGA-PBE
State: optimized geometry

## Properties
ΔE_f: -35.90 kJ per mole of atoms
Volume: 567.00 Å³/cell
Space-group type: P4_2/n (86)
Total moment: 0.00 μB per formula unit
D(E_F): 16.4 states/eV per cell
E: -4.647 eV/atom

abc: 6.0576 9.6748 9.6748
angles: 90.00 90.00 90.00
Positions (direct):
Ho (0.0000, 0.0000, 0.0000)
Ho (0.5000, 0.5000, 0.5000)
Tm (0.3905, 0.3411, 0.9021)
Tm (0.8905, 0.5979, 0.8411)
Tm (0.3905, 0.6589, 0.0979)
Tm (0.1095, 0.1589, 0.5979)
Tm (0.6095, 0.9021, 0.6589)
Tm (0.1095, 0.8411, 0.4021)
Tm (0.8905, 0.4021, 0.1589)
Tm (0.6095, 0.0979, 0.3411)
Sn (0.6010, 0.7798, 0.3683)
Sn (0.6010, 0.2202, 0.6317)
Sn (0.1010, 0.8683, 0.7202)
Sn (0.8990, 0.2798, 0.8683)
Sn (0.8990, 0.7202, 0.1317)
Sn (0.3990, 0.3683, 0.2202)
Sn (0.3990, 0.6317, 0.7798)
Sn (0.1010, 0.1317, 0.2798)

Record 4
Material: CeBiPb
Method: DFT, GGA-PBE
State: optimized geometry

## Properties
ΔE_f: -47.15 kJ per mole of atoms
Relative energy among the computed polymorphs: 0.000 eV/atom
Volume: 182.04 Å³/cell
Space-group type: Cmcm (63)
Total moment: 0.82 μB per formula unit
D(E_F): 12.1 states/eV per cell
E: -4.996 eV/atom

abc: 4.6296 4.5619 8.9161
angles: 104.82 90.00 90.00
Site moments in Bohr magnetons follow the coordinates.
Positions (direct):
Ce (0.2500, 0.0970, 0.1940)  0.74
Ce (0.7500, 0.9030, 0.8060)  0.74
Bi (0.2500, 0.4262, 0.8523)  -0.01
Bi (0.7500, 0.5738, 0.1477)  -0.01
Pb (0.2500, 0.7506, 0.5013)  0.00
Pb (0.7500, 0.2494, 0.4987)  0.00

Record 5
Material: Dy4ZnAg3
Method: DFT, GGA-PBE
State: optimized geometry

## Properties
ΔE_f: -26.90 kJ per mole of atoms
Relative energy among the computed polymorphs: 0.052 eV/atom
Volume: 194.68 Å³/cell
Space-group type: Pmm2 (25)
Total moment: 0.00 μB per formula unit
D(E_F): 8.1 states/eV per cell
E: -3.808 eV/atom

abc: 3.6579 4.7604 11.1804
angles: 90.00 90.00 90.00
Positions (direct):
Dy (0.5000, 0.5000, 0.3511)
Dy (0.0000, 0.5000, 0.8551)
Dy (0.0000, 0.0000, 0.1462)
Dy (0.5000, 0.0000, 0.6453)
Zn (0.5000, 0.5000, 0.0776)
Ag (0.0000, 0.5000, 0.5792)
Ag (0.0000, 0.0000, 0.4214)
Ag (0.5000, 0.0000, 0.9242)

Record 6
Material: TbSm2TaN4
Method: DFT, GGA-PBE
State: optimized geometry

## Properties
Volume: 112.89 Å³/cell
Space-group type: P2/m (10)
Total moment: 0.00 μB per formula unit
D(E_F): 1.8 states/eV per cell
E: -8.821 eV/atom

abc: 3.3920 5.9043 5.9568
angles: 108.88 90.00 90.00
Positions (direct):
Tb (0.5000, 0.5000, 0.0000)
Sm (0.5000, 0.0000, 0.5000)
Sm (0.0000, 0.5000, 0.5000)
Ta (0.0000, 0.0000, 0.0000)
N (0.5000, 0.2211, 0.2165)
N (0.5000, 0.7789, 0.7835)
N (0.0000, 0.2324, 0.7774)
N (0.0000, 0.7676, 0.2226)